(1)
Pr2TlCd PBE optimized geometry; relative energy among the computed polymorphs = 0.0 kJ/mol of atoms; energy of formation = -1.45 eV/f.u.
1.0
0.0000 3.9141 3.9141
3.9141 0.0000 3.9141
3.9141 3.9141 0.0000
Pr Tl Cd
2 1 1
direct
0.2500 0.2500 0.2500
0.7500 0.7500 0.7500
0.0000 0.0000 0.0000
0.5000 0.5000 0.5000

(2)
Pr3Tl2Cd2 PBE optimized geometry; energy of formation = -2.36 eV/f.u.
1.0
2.4519 -11.6357 0.0000
2.4519 11.6357 0.0000
0.0000 0.0000 3.4892
Pr Tl Cd
3 2 2
direct
0.0000 0.0000 0.0000
0.1555 0.8445 0.0000
0.8445 0.1555 0.0000
0.4215 0.5785 0.5000
0.5785 0.4215 0.5000
0.2826 0.7174 0.5000
0.7174 0.2826 0.5000

(3)
Pr2Tl3Cd PBE optimized geometry; energy of formation = -1.73 eV/f.u.
1.0
0.0000 5.1475 8.8538
3.7499 0.0000 8.8538
3.7499 5.1475 0.0000
Pr Tl Cd
4 6 2
direct
0.2485 0.7515 0.7515
0.2500 0.2500 0.2500
0.7500 0.7500 0.7500
0.7515 0.2485 0.2485
0.1694 0.1694 0.8306
0.1690 0.6612 0.3388
0.3388 0.8310 0.1690
0.6612 0.1690 0.8310
0.8310 0.3388 0.6612
0.8306 0.8306 0.1694
0.3336 0.3336 0.6664
0.6664 0.6664 0.3336

(4)
Pr4Tl3Cd PBE optimized geometry; relative energy among the computed polymorphs = 5.4 kJ/mol of atoms; energy of formation = -2.55 eV/f.u.
1.0
3.9639 0.0000 0.0000
0.0000 5.0276 0.0000
0.0000 0.0000 12.5039
Pr Tl Cd
4 3 1
direct
0.0000 0.0000 0.0000
0.0000 0.5000 0.2983
0.5000 0.0000 0.4945
0.5000 0.5000 0.7973
0.0000 0.0000 0.7316
0.0000 0.5000 0.5646
0.5000 0.5000 0.0681
0.5000 0.0000 0.2241

(5)
Pr2TlCd PBE optimized geometry; relative energy among the computed polymorphs = 1.1 kJ/mol of atoms; energy of formation = -1.40 eV/f.u.
1.0
5.5279 0.0000 0.0000
0.0000 5.5279 0.0000
0.0000 0.0000 3.9230
Pr Tl Cd
2 1 1
direct
0.0000 0.5000 0.0000
0.5000 0.0000 0.0000
0.0000 0.0000 0.5000
0.5000 0.5000 0.5000

(6)
PrTl2Cd PBE optimized geometry; relative energy among the computed polymorphs = 11.4 kJ/mol of atoms; energy of formation = -0.76 eV/f.u.
1.0
0.0000 3.8180 3.8180
3.8180 0.0000 3.8180
3.8180 3.8180 0.0000
Pr Tl Cd
1 2 1
direct
0.0000 0.0000 0.0000
0.2500 0.2500 0.2500
0.7500 0.7500 0.7500
0.5000 0.5000 0.5000